Entry 1:
BaP2Ir after structural relaxation. Source: Alexandria, functional PBE-GGA.

POSCAR file:
```
BaP2Ir
1.0
4.906 0.000 0.000
2.453 4.249 0.000
2.453 1.416 4.006
P Ir Ba
2 1 1
Direct
0.000 0.000 0.000
0.250 0.250 0.250
0.750 0.750 0.750
0.500 0.500 0.500
```

## Properties
Its volume is 83.5 Å³ per cell. The space group is F-43m, No. 216. The calculated total energy is -4.7295 eV/atom. The energy of formation from the pure elements comes out at 671 meV/atom.

Entry 2:
SrMg2ZnCo after structural relaxation. Source: Alexandria, functional PBE-GGA.

POSCAR file:
```
SrMg2ZnCo
1.0
4.885 0.000 0.000
0.000 4.885 0.000
0.000 0.000 4.830
Mg Zn Co Sr
2 1 1 1
Direct
0.000 0.500 0.000
0.500 0.000 0.000
0.000 0.000 0.500
0.000 0.000 0.000
0.500 0.500 0.500
```

## Properties
Its volume is 115.2 Å³ per cell. The space group is P4/mmm, No. 123. The calculated total energy is -2.6393 eV/atom. The energy of formation from the pure elements comes out at 11 meV/atom.

Entry 3:
TlAg3B after structural relaxation. Source: Alexandria, functional PBE-GGA.

POSCAR file:
```
TlAg3B
1.0
5.302 0.000 0.000
0.000 5.302 0.000
0.000 0.000 5.302
Tl Ag B
1 3 1
Direct
0.000 0.000 0.000
0.000 0.000 0.500
0.500 0.000 0.000
0.000 0.500 0.000
0.500 0.500 0.500
```

## Properties
Its volume is 149.0 Å³ per cell. Its polymorph energy (0 for the lowest one) is 1.182 eV/atom. The space group is Pm-3m, No. 221. The calculated total energy is -1.8967 eV/atom. The energy of formation from the pure elements comes out at 1623 meV/atom.

Entry 4:
KNa9Li2 after structural relaxation. Source: Alexandria, functional PBE-GGA.

POSCAR file:
```
KNa9Li2
1.0
3.605 0.000 0.000
0.000 10.291 -5.942
0.000 0.000 11.883
Na K Li
9 1 2
Direct
0.000 0.500 0.500
0.500 0.188 0.812
0.000 0.500 0.000
0.500 0.625 0.812
0.500 0.375 0.188
0.500 0.812 0.188
0.000 0.000 0.500
0.500 0.188 0.375
0.500 0.812 0.625
0.000 0.000 0.000
0.000 0.667 0.333
0.000 0.333 0.667
```

## Properties
Its volume is 440.8 Å³ per cell. The space group is P6/mmm, No. 191. The calculated total energy is -1.3531 eV/atom. The energy of formation from the pure elements comes out at 47 meV/atom.

Entry 5:
ThCdHgPd after structural relaxation. Source: Alexandria, functional PBE-GGA.

POSCAR file:
```
ThCdHgPd
1.0
-3.384 3.114 2.122
-2.308 -1.326 4.309
1.124 2.399 4.317
Th Pd Cd Hg
1 1 1 1
Direct
0.000 0.000 0.000
0.750 0.750 0.750
0.500 0.500 0.500
0.250 0.250 0.250
```

## Properties
Its volume is 91.9 Å³ per cell. Its polymorph energy (0 for the lowest one) is 0.000 eV/atom. The space group is F-43m, No. 216. The calculated total energy is -3.8780 eV/atom. The energy of formation from the pure elements comes out at -421 meV/atom.

Entry 6:
Cr3PbSe after structural relaxation. Source: Alexandria, functional PBE-GGA.

POSCAR file:
```
Cr3PbSe
1.0
5.179 0.000 0.000
0.000 5.179 0.000
0.000 0.000 5.179
Pb Se Cr
1 1 3
Direct
0.000 0.000 0.000
0.500 0.500 0.500
0.000 0.500 0.000
0.000 0.000 0.500
0.500 0.000 0.000
```

## Properties
Its volume is 138.9 Å³ per cell. Its polymorph energy (0 for the lowest one) is 0.354 eV/atom. As for the formation energy from raw total energies: 6.550 eV/f.u. The space group is Pm-3m, No. 221. The calculated total energy is -5.9026 eV/atom.

Entry 7:
Na2YOs after structural relaxation. Source: Alexandria, functional PBE-GGA.

POSCAR file:
```
Na2YOs
1.0
4.027 0.000 0.000
0.000 4.027 0.000
2.013 2.013 11.779
Na Os Y
4 2 2
Direct
0.653 0.125 0.250
0.097 0.625 0.250
0.375 0.347 0.750
0.875 0.903 0.750
0.750 0.250 0.500
0.000 0.000 0.000
0.500 0.500 0.000
0.250 0.750 0.500
```

## Properties
Its volume is 191.0 Å³ per cell. Its polymorph energy (0 for the lowest one) is 0.000 eV/atom. The space group is I-42d, No. 122. The calculated total energy is -4.4711 eV/atom. The energy of formation from the pure elements comes out at 612 meV/atom.

Entry 8:
Th4Si2PSe after structural relaxation. Source: Alexandria, functional PBE-GGA.

POSCAR file:
```
Th4Si2PSe
1.0
-1.120 -4.069 0.319
6.492 -1.557 2.923
-0.380 0.678 7.316
Si P Th Se
2 1 4 1
Direct
0.500 0.000 0.500
0.000 0.000 0.000
0.000 0.500 0.500
0.500 0.248 0.743
0.000 0.759 0.739
0.000 0.241 0.261
0.500 0.752 0.257
0.500 0.500 0.000
```

## Properties
Its volume is 213.9 Å³ per cell. As for the formation energy from raw total energies: -9.095 eV/f.u. The space group is P2/m, No. 10. The calculated total energy is -7.3143 eV/atom.

Entry 9:
Pr6Bi5H after structural relaxation. Source: Alexandria, functional PBE-GGA.

POSCAR file:
```
Pr6Bi5H
1.0
7.937 0.216 0.000
2.441 7.527 0.000
1.221 3.763 6.831
Pr Bi H
6 5 1
Direct
0.257 0.248 0.000
0.754 0.081 0.332
0.754 0.413 0.668
0.743 0.752 0.000
0.246 0.587 0.332
0.246 0.919 0.668
0.500 0.500 0.000
0.500 0.829 0.342
0.000 0.335 0.331
0.000 0.665 0.669
0.500 0.171 0.658
0.000 0.000 0.000
```

## Properties
Its volume is 404.5 Å³ per cell. The space group is C2/m, No. 12. The calculated total energy is -5.0446 eV/atom.

Entry 10:
YZrAu2 after structural relaxation. Source: Alexandria, functional PBE-GGA.

POSCAR file:
```
YZrAu2
1.0
7.989 -0.036 -0.022
7.099 3.665 -0.022
7.099 1.707 3.243
Zr Au Y
1 2 1
Direct
0.750 0.750 0.750
0.494 0.494 0.494
0.006 0.006 0.006
0.250 0.250 0.250
```

## Properties
Its volume is 96.4 Å³ per cell. Its polymorph energy (0 for the lowest one) is 0.187 eV/atom. The space group is R-3m, No. 166. The calculated total energy is -5.8514 eV/atom. The energy of formation from the pure elements comes out at -460 meV/atom.

Entry 11:
Cs2HgTe after structural relaxation. Source: Alexandria, functional PBE-GGA.

POSCAR file:
```
Cs2HgTe
1.0
-1.644 1.065 6.813
-1.836 -6.818 0.623
8.635 -5.405 6.617
Cs Hg Te
4 2 2
Direct
0.597 0.125 0.250
0.875 0.847 0.750
0.375 0.403 0.750
0.153 0.625 0.250
0.000 0.000 0.000
0.750 0.250 0.500
0.500 0.500 0.000
0.250 0.750 0.500
```

## Properties
Its volume is 556.0 Å³ per cell. Its polymorph energy (0 for the lowest one) is 0.248 eV/atom. As for the formation energy from raw total energies: -2.112 eV/f.u. The space group is I-42d, No. 122. The calculated total energy is -1.8157 eV/atom.

Entry 12:
KFeCl4 after structural relaxation. Source: Alexandria, functional PBE-GGA.

POSCAR file:
```
KFeCl4
1.0
7.806 -0.643 2.379
-4.447 6.447 2.379
-0.372 -0.643 8.152
Cl K Fe
8 2 2
Direct
0.214 0.141 0.073
0.359 0.286 0.427
0.641 0.714 0.573
0.786 0.859 0.927
0.786 0.213 0.573
0.713 0.286 0.073
0.214 0.787 0.427
0.287 0.714 0.927
0.875 0.625 0.250
0.125 0.375 0.750
0.375 0.125 0.250
0.625 0.875 0.750
```

## Properties
Its volume is 412.0 Å³ per cell. Its polymorph energy (0 for the lowest one) is 0.005 eV/atom. As for the formation energy from raw total energies: -7.362 eV/f.u. The space group is I4_1/amd, No. 141. The calculated total energy is -4.0514 eV/atom.

Entry 13:
LiEuCuAg after structural relaxation. Source: Alexandria, functional PBE-GGA.

POSCAR file:
```
LiEuCuAg
1.0
-2.762 4.075 -0.861
-1.841 0.851 -4.567
-4.907 -0.438 -0.838
Ag Cu Li Eu
1 1 1 1
Direct
0.000 0.000 0.000
0.500 0.500 0.500
0.250 0.250 0.250
0.750 0.750 0.750
```

## Properties
Its volume is 88.2 Å³ per cell. The space group is F-43m, No. 216. The calculated total energy is -4.8213 eV/atom. The energy of formation from the pure elements comes out at -37 meV/atom.

Entry 14:
Dy6Ga2C after structural relaxation. Source: Alexandria, functional PBE-GGA.

POSCAR file:
```
Dy6Ga2C
1.0
-4.445 -5.046 0.777
5.008 -4.509 -0.638
1.599 0.251 10.772
Ga Dy C
4 12 2
Direct
0.000 0.000 0.362
0.500 0.500 0.138
0.000 0.000 0.638
0.500 0.500 0.862
0.695 0.695 0.656
0.195 0.805 0.156
0.695 0.695 0.344
0.305 0.305 0.344
0.748 0.252 0.500
0.305 0.305 0.656
0.805 0.195 0.844
0.805 0.195 0.156
0.752 0.752 0.000
0.195 0.805 0.844
0.248 0.248 0.000
0.252 0.748 0.500
0.000 0.000 0.000
0.500 0.500 0.500
```

## Properties
Its volume is 499.1 Å³ per cell. The space group is P4_2/mnm, No. 136. The calculated total energy is -4.8993 eV/atom. The energy of formation from the pure elements comes out at -134 meV/atom.

Entry 15:
EuCdGaPd after structural relaxation. Source: Alexandria, functional PBE-GGA.

POSCAR file:
```
EuCdGaPd
1.0
-4.347 2.316 -0.508
-3.442 -1.836 -3.049
-4.119 -2.031 1.852
Eu Cd Ga Pd
1 1 1 1
Direct
0.500 0.500 0.500
0.000 0.000 0.000
0.750 0.750 0.750
0.250 0.250 0.250
```

## Properties
Its volume is 85.8 Å³ per cell. The space group is F-43m, No. 216. The calculated total energy is -5.2494 eV/atom. The energy of formation from the pure elements comes out at -397 meV/atom.

Entry 16:
PrGa2Ir2Pt after structural relaxation. Source: Alexandria, functional PBE-GGA.

POSCAR file:
```
PrGa2Ir2Pt
1.0
-1.852 1.561 4.003
-4.288 -0.388 -1.833
-0.334 -5.243 1.890
Ir Pt Pr Ga
2 1 1 2
Direct
0.500 0.500 0.271
0.500 0.500 0.729
0.000 0.000 0.000
0.000 0.000 0.500
0.500 0.000 0.000
0.000 0.500 0.000
```

## Properties
Its volume is 122.2 Å³ per cell. The space group is P4/mmm, No. 123. The calculated total energy is -5.9516 eV/atom. The energy of formation from the pure elements comes out at -186 meV/atom.

Entry 17:
CsScC after structural relaxation. Source: Alexandria, functional PBE-GGA.

POSCAR file:
```
CsScC
1.0
7.122 0.000 0.000
0.000 3.807 0.000
0.000 0.000 13.199
Sc Cs C
4 4 4
Direct
0.347 0.250 0.980
0.653 0.750 0.020
0.153 0.750 0.480
0.847 0.250 0.520
0.397 0.250 0.707
0.897 0.250 0.793
0.603 0.750 0.293
0.103 0.750 0.207
0.076 0.250 0.410
0.924 0.750 0.590
0.424 0.750 0.910
0.576 0.250 0.090
```

## Properties
Its volume is 357.9 Å³ per cell. Its polymorph energy (0 for the lowest one) is 0.394 eV/atom. The space group is Pnma, No. 62. The calculated total energy is -4.9791 eV/atom. The energy of formation from the pure elements comes out at 491 meV/atom.

Entry 18:
Y3CoBi after structural relaxation. Source: Alexandria, functional PBE-GGA.

POSCAR file:
```
Y3CoBi
1.0
4.287 0.000 0.000
0.000 8.035 -0.810
0.000 -2.738 7.956
Y Bi Co
6 2 2
Direct
0.250 0.674 0.090
0.750 0.676 0.411
0.250 0.959 0.759
0.250 0.324 0.589
0.750 0.041 0.241
0.750 0.326 0.910
0.250 0.327 0.199
0.750 0.673 0.801
0.250 0.939 0.422
0.750 0.061 0.578
```

## Properties
Its volume is 264.5 Å³ per cell. Its polymorph energy (0 for the lowest one) is 0.000 eV/atom. The space group is P2_1/m, No. 11. The calculated total energy is -6.5294 eV/atom. The energy of formation from the pure elements comes out at -454 meV/atom.

Entry 19:
Rb12Ag3Hg5 after structural relaxation. Source: Alexandria, functional PBE-GGA.

POSCAR file:
```
Rb12Ag3Hg5
1.0
-11.544 -12.210 7.806
2.898 -4.678 -17.692
16.127 -0.045 9.121
Hg Rb Ag
20 48 12
Direct
0.500 0.000 0.000
0.375 0.125 0.750
0.500 0.500 0.000
0.500 0.000 0.500
0.000 0.000 0.500
0.000 0.000 0.000
0.250 0.375 0.625
0.625 0.875 0.250
0.750 0.125 0.875
0.000 0.500 0.000
0.250 0.875 0.125
0.875 0.250 0.625
0.125 0.750 0.375
0.000 0.500 0.500
0.750 0.625 0.375
0.875 0.625 0.750
0.500 0.500 0.500
0.125 0.375 0.250
0.625 0.750 0.875
0.375 0.250 0.125
0.601 0.872 0.428
0.428 0.057 0.327
0.057 0.428 0.827
0.943 0.372 0.271
0.128 0.729 0.557
0.173 0.101 0.729
0.372 0.943 0.771
0.827 0.899 0.271
0.372 0.428 0.101
0.229 0.673 0.101
0.872 0.271 0.443
0.771 0.443 0.372
0.072 0.899 0.128
0.327 0.771 0.399
0.899 0.827 0.771
0.928 0.101 0.872
0.771 0.327 0.899
0.673 0.229 0.601
0.057 0.628 0.729
0.872 0.601 0.928
0.628 0.057 0.229
0.572 0.943 0.673
0.443 0.673 0.072
0.399 0.128 0.572
0.399 0.271 0.327
0.572 0.628 0.399
0.428 0.372 0.601
0.557 0.327 0.928
0.173 0.072 0.943
0.101 0.173 0.229
0.557 0.229 0.128
0.928 0.827 0.557
0.729 0.128 0.057
0.899 0.072 0.628
0.072 0.173 0.443
0.673 0.443 0.572
0.271 0.399 0.827
0.827 0.928 0.057
0.271 0.872 0.943
0.327 0.557 0.428
0.601 0.729 0.673
0.628 0.572 0.899
0.729 0.601 0.173
0.443 0.771 0.872
0.229 0.557 0.628
0.128 0.399 0.072
0.101 0.928 0.372
0.943 0.572 0.173
0.875 0.750 0.125
0.125 0.875 0.750
0.375 0.750 0.625
0.875 0.125 0.250
0.750 0.375 0.125
0.125 0.250 0.875
0.250 0.125 0.375
0.250 0.625 0.875
0.375 0.625 0.250
0.625 0.375 0.750
0.625 0.250 0.375
0.750 0.875 0.625
```

## Properties
Its volume is 4896.2 Å³ per cell. The space group is Ia-3d, No. 230. The calculated total energy is -1.0249 eV/atom. The energy of formation from the pure elements comes out at 59 meV/atom.

Entry 20:
BaInTe3 after structural relaxation. Source: Alexandria, functional PBE-GGA.

POSCAR file:
```
BaInTe3
1.0
5.765 0.000 0.000
0.000 5.765 0.000
0.000 0.000 5.765
Te Ba In
3 1 1
Direct
0.000 0.000 0.500
0.500 0.000 0.000
0.000 0.500 0.000
0.500 0.500 0.500
0.000 0.000 0.000
```

## Properties
Its volume is 191.6 Å³ per cell. Its polymorph energy (0 for the lowest one) is 0.226 eV/atom. As for the formation energy from raw total energies: -2.829 eV/f.u. The space group is Pm-3m, No. 221. The calculated total energy is -3.3831 eV/atom.

Entry 21:
TbNdDyAl after structural relaxation. Source: Alexandria, functional PBE-GGA.

POSCAR file:
```
TbNdDyAl
1.0
3.544 0.000 0.000
0.000 3.544 0.000
0.000 0.000 9.125
Tb Al Nd Dy
1 1 1 1
Direct
0.500 0.500 0.780
0.000 0.000 0.570
0.000 0.000 0.072
0.500 0.500 0.362
```

## Properties
Its volume is 114.6 Å³ per cell. Its polymorph energy (0 for the lowest one) is 0.000 eV/atom. The space group is P4mm, No. 99. The calculated total energy is -4.6262 eV/atom. The energy of formation from the pure elements comes out at -190 meV/atom.

Entry 22:
La2ScCl after structural relaxation. Source: Alexandria, functional PBE-GGA.

POSCAR file:
```
La2ScCl
1.0
3.537 0.016 0.000
-1.691 3.107 0.000
0.000 0.000 10.524
La Sc Cl
2 1 1
Direct
0.500 0.500 0.275
0.000 0.000 0.967
0.000 0.000 0.534
0.500 0.500 0.724
```

## Properties
Its volume is 115.9 Å³ per cell. Its polymorph energy (0 for the lowest one) is 0.104 eV/atom. As for the formation energy from raw total energies: -2.108 eV/f.u. The space group is Cmm2, No. 35. The calculated total energy is -5.0353 eV/atom.